Material: TeMoH
Method: DFT, PBE-GGA
State: optimized geometry

Calculated values
crystal system = monoclinic
raw total energy = -0.426 Ry/atom
volume = 17.6 A^3/atom

a = 3.186 Å, b = 7.641 Å, c = 8.675 Å
α = 94.04°, β = 90.00°, γ = 90.00°
Fractional coordinates of all 12 atoms:
Te 0.500 0.277 0.155
Te 0.000 0.871 0.286
Te 0.000 0.129 0.714
Te 0.500 0.723 0.845
Mo 0.500 0.552 0.369
Mo 0.500 0.448 0.631
Mo 0.000 0.232 0.413
Mo 0.000 0.768 0.587
H 0.500 0.865 0.542
H 0.000 0.458 0.743
H 0.000 0.542 0.257
H 0.500 0.135 0.458